[1]
Here is crystalline ZrPaOsPd at its relaxed geometry from Alexandria. Energies are from PBE.

Geometry as POSCAR:
```
ZrPaOsPd
1.0
4.813 0.000 0.000
2.406 4.168 0.000
2.406 1.389 3.929
Pa Os Zr Pd
1 1 1 1
Cartesian
4.813 2.779 1.965
7.219 4.168 2.947
0.000 0.000 0.000
2.406 1.389 0.982
```

Output
* ΔE_f: -366 meV per atom
* VASP energy: -8.983 eV/atom
* symmetry: F-43m, No. 216

=====

[2]
Here is crystalline Pm3PaOs8 at its relaxed geometry from Alexandria. Energies are from PBE.

Geometry as POSCAR:
```
Pm3PaOs8
1.0
-2.015 -1.102 -4.894
-2.923 -4.481 -0.773
-9.007 2.590 0.139
Pm Pa Os
3 1 8
Cartesian
-9.740 0.177 -2.002
-8.989 2.579 0.134
-6.995 -1.483 -2.758
-7.705 -3.910 -4.905
-4.874 -2.500 -4.886
-9.796 -2.913 -2.779
-3.873 -1.952 -2.454
-10.801 -3.463 -5.220
-4.859 0.082 -1.004
-11.831 -1.415 -3.768
-5.325 -4.179 -2.838
-9.343 -1.228 -4.835
```

Output
* ΔE_f: -173 meV per atom
* VASP energy: -9.639 eV/atom
* symmetry: R3m, No. 160

=====

[3]
Here is crystalline PmPaOs4 at its relaxed geometry from Alexandria. Energies are from PBE.

Geometry as POSCAR:
```
PmPaOs4
1.0
-1.021 1.211 5.155
-1.217 -3.918 3.500
3.526 -1.374 3.842
Pa Os Pm
1 4 1
Cartesian
0.000 0.000 0.000
-0.957 -1.863 5.890
1.413 -0.593 6.060
0.805 -2.550 7.809
1.315 -3.155 5.234
0.322 -1.020 3.124
```

Output
* ΔE_f: -201 meV per atom
* VASP energy: -10.062 eV/atom
* symmetry: F-43m, No. 216

=====

[4]
Here is crystalline PmPa3Os2 at its relaxed geometry from Alexandria. Energies are from PBE.

Geometry as POSCAR:
```
PmPa3Os2
1.0
4.924 0.000 0.000
-2.462 8.685 0.188
0.000 -3.652 6.945
Pm Pa Os
2 6 4
Cartesian
2.462 2.323 6.642
0.000 2.711 0.491
0.000 3.186 3.973
2.462 5.603 4.898
2.462 -0.744 4.633
0.000 5.778 2.501
0.000 -0.570 2.236
2.462 1.848 3.161
0.000 5.314 5.799
2.462 -0.280 1.334
2.462 4.482 2.332
0.000 0.552 4.802
```

Output
* ΔE_f: -98 meV per atom
* VASP energy: -9.381 eV/atom
* symmetry: C2/m, No. 12

=====

[5]
Here is crystalline PmPaOs2 at its relaxed geometry from Alexandria. Energies are from PBE.

Geometry as POSCAR:
```
PmPaOs2
1.0
3.504 0.000 0.000
0.000 3.504 0.000
0.000 0.000 6.932
Pa Os Pm
1 2 1
Cartesian
1.752 1.752 0.000
0.000 0.000 5.430
0.000 0.000 1.502
1.752 1.752 3.466
```

Output
* ΔE_f: -177 meV per atom
* VASP energy: -9.353 eV/atom
* energy above the lowest structure with this stoichiometry: 0 meV/atom
* symmetry: P4/mmm, No. 123

=====

[6]
Here is crystalline Pm2PaOs2 at its relaxed geometry from Alexandria. Energies are from PBE.

Geometry as POSCAR:
```
Pm2PaOs2
1.0
5.769 0.058 0.902
2.585 5.157 0.902
0.037 0.023 8.149
Pm Pa Os
4 2 4
Cartesian
3.349 1.176 1.852
5.844 2.734 4.026
5.041 4.062 8.100
2.546 2.504 5.927
3.002 4.509 2.939
5.388 0.729 7.014
6.831 5.207 5.700
0.730 1.399 8.327
1.559 0.031 4.253
7.660 3.839 1.626
```

Output
* ΔE_f: -266 meV per atom
* VASP energy: -8.558 eV/atom
* symmetry: C2/c, No. 15

=====

[7]
Here is crystalline PmPaOs2 at its relaxed geometry from Alexandria. Energies are from PBE.

Geometry as POSCAR:
```
PmPaOs2
1.0
-0.353 1.238 3.528
2.097 -1.496 2.734
5.895 5.045 0.818
Pa Os Pm
1 2 1
Cartesian
0.000 0.000 0.000
5.844 3.701 5.283
1.795 1.086 1.797
3.820 2.394 3.540
```

Output
* ΔE_f: 165 meV per atom
* VASP energy: -9.012 eV/atom
* energy above the lowest structure with this stoichiometry: 341 meV/atom
* symmetry: R-3m, No. 166

=====

[8]
Here is crystalline PmPa2Os9 at its relaxed geometry from Alexandria. Energies are from PBE.

Geometry as POSCAR:
```
PmPa2Os9
1.0
5.064 0.000 1.507
2.308 4.508 1.507
-0.050 -0.030 9.428
Pm Pa Os
1 2 9
Cartesian
0.000 0.000 0.000
6.322 3.866 6.543
1.001 0.612 5.899
4.886 2.988 2.106
2.436 1.490 10.337
3.661 2.239 6.221
3.045 1.862 3.583
5.620 1.862 4.349
4.218 4.153 4.349
4.277 2.615 8.860
3.104 0.324 8.093
1.703 2.615 8.093
```

Output
* ΔE_f: -86 meV per atom
* VASP energy: -10.487 eV/atom
* symmetry: R-3m, No. 166

=====

[9]
Here is crystalline PmPaOs2 at its relaxed geometry from Alexandria. Energies are from PBE.

Geometry as POSCAR:
```
PmPaOs2
1.0
-0.156 -4.756 1.211
-0.057 -3.428 -3.515
3.936 -2.847 -0.717
Pa Os Pm
1 2 1
Cartesian
0.000 0.000 0.000
0.931 -2.758 -0.755
2.792 -8.273 -2.265
1.861 -5.515 -1.510
```

Output
* ΔE_f: -58 meV per atom
* VASP energy: -9.234 eV/atom
* energy above the lowest structure with this stoichiometry: 119 meV/atom
* symmetry: Fm-3m, No. 225

=====

[10]
Here is crystalline PmPaReOs at its relaxed geometry from Alexandria. Energies are from PBE.

Geometry as POSCAR:
```
PmPaReOs
1.0
4.924 0.000 0.000
2.462 4.264 0.000
2.462 1.421 4.020
Re Pa Os Pm
1 1 1 1
Cartesian
4.924 2.843 2.010
2.462 1.421 1.005
0.000 0.000 0.000
7.386 4.264 3.015
```

Output
* ΔE_f: 102 meV per atom
* VASP energy: -9.379 eV/atom
* symmetry: F-43m, No. 216

=====

[11]
Here is crystalline PmPaZnOs at its relaxed geometry from Alexandria. Energies are from PBE.

Geometry as POSCAR:
```
PmPaZnOs
1.0
4.972 0.000 0.000
2.486 4.306 0.000
2.486 1.435 4.060
Zn Pa Os Pm
1 1 1 1
Cartesian
4.972 2.871 2.030
7.458 4.306 3.045
0.000 0.000 0.000
2.486 1.435 1.015
```

Output
* ΔE_f: -67 meV per atom
* VASP energy: -6.755 eV/atom
* symmetry: F-43m, No. 216

=====

[12]
Here is crystalline Pr3PaOs8 at its relaxed geometry from Alexandria. Energies are from PBE.

Geometry as POSCAR:
```
Pr3PaOs8
1.0
-1.621 -4.518 2.554
3.648 -3.178 2.481
-0.397 2.061 9.182
Pr Pa Os
3 1 8
Cartesian
0.410 -1.073 9.938
-0.395 2.052 9.168
0.811 -2.799 7.137
1.623 -5.952 7.863
0.012 -5.207 5.227
2.439 -3.560 9.725
0.812 -2.977 3.967
1.631 -5.814 10.999
0.209 -0.555 4.939
1.025 -3.373 12.046
2.613 -4.546 5.191
-0.189 -4.229 9.761
```

Output
* ΔE_f: -98 meV per atom
* VASP energy: -9.571 eV/atom
* symmetry: R3m, No. 160

=====

[13]
Here is crystalline Pr2PaOs at its relaxed geometry from Alexandria. Energies are from PBE.

Geometry as POSCAR:
```
Pr2PaOs
1.0
3.301 0.000 0.000
1.650 2.859 0.000
1.650 0.953 11.073
Pr Pa Os
2 1 1
Cartesian
1.650 0.953 7.780
4.951 2.859 3.292
0.000 0.000 0.000
3.301 1.906 5.536
```

Output
* ΔE_f: 576 meV per atom
* VASP energy: -6.996 eV/atom
* symmetry: R-3m, No. 166

=====

[14]
Here is crystalline PrPa2Os9 at its relaxed geometry from Alexandria. Energies are from PBE.

Geometry as POSCAR:
```
PrPa2Os9
1.0
5.085 0.000 1.513
2.317 4.526 1.513
-0.032 -0.019 9.406
Pr Pa Os
1 2 9
Cartesian
0.000 0.000 0.000
6.357 3.887 6.541
1.014 0.620 5.892
4.900 2.996 2.136
2.471 1.511 10.297
3.685 2.254 6.217
3.054 1.868 3.591
5.649 1.868 4.363
4.237 4.178 4.363
4.316 2.639 8.842
3.134 0.329 8.070
1.721 2.639 8.070
```

Output
* ΔE_f: -68 meV per atom
* VASP energy: -10.471 eV/atom
* symmetry: R-3m, No. 166

=====

[15]
Here is crystalline PrPaTcOs at its relaxed geometry from Alexandria. Energies are from PBE.

Geometry as POSCAR:
```
PrPaTcOs
1.0
-0.738 -4.859 -0.570
2.062 -3.203 3.158
-2.831 -2.467 3.222
Pr Pa Os Tc
1 1 1 1
Cartesian
0.000 0.000 0.000
-0.754 -5.265 2.904
-0.377 -2.632 1.452
-1.131 -7.897 4.357
```

Output
* ΔE_f: 58 meV per atom
* VASP energy: -8.910 eV/atom
* symmetry: F-43m, No. 216

=====

[16]
Here is crystalline Pa8Os5Pt at its relaxed geometry from Alexandria. Energies are from PBE.

Geometry as POSCAR:
```
Pa8Os5Pt
1.0
6.991 0.000 -2.488
-3.448 6.091 -2.466
-0.095 0.000 7.420
Pa Os Pt
8 5 1
Cartesian
-1.743 4.642 -2.185
6.478 0.763 2.852
4.287 1.480 0.294
3.059 2.255 4.008
1.334 3.836 -0.866
1.344 5.327 2.742
0.817 1.448 1.523
-1.784 4.610 1.496
-1.268 2.340 0.014
3.014 5.342 -2.456
3.051 3.751 1.262
3.448 0.000 2.466
2.098 0.748 6.112
-0.047 3.045 3.710
```

Output
* ΔE_f: -374 meV per atom
* VASP energy: -10.242 eV/atom
* symmetry: I-4, No. 82

=====

[17]
Here is crystalline Pa4Os3Pt at its relaxed geometry from Alexandria. Energies are from PBE.

Geometry as POSCAR:
```
Pa4Os3Pt
1.0
-1.323 1.663 2.423
-7.168 -2.303 1.977
2.298 -2.231 7.095
Pa Os Pt
4 3 1
Cartesian
-5.293 -1.740 9.056
-5.185 -1.493 4.642
-2.756 0.528 4.575
-0.433 -1.374 7.165
0.143 -0.287 4.574
-8.159 -0.639 4.579
-2.104 -2.263 4.717
-2.317 -2.554 9.096
```

Output
* ΔE_f: -458 meV per atom
* VASP energy: -10.172 eV/atom
* symmetry: C2, No. 5

=====

[18]
Here is crystalline Pa4OsPt3 at its relaxed geometry from Alexandria. Energies are from PBE.

Geometry as POSCAR:
```
Pa4OsPt3
1.0
-3.474 1.118 -1.011
-1.319 -4.095 0.002
-2.784 0.902 10.569
Pa Os Pt
4 1 3
Cartesian
-3.376 -1.171 3.215
-3.070 -1.266 9.153
-0.385 0.125 1.463
-3.513 1.135 6.239
-2.670 -1.400 0.536
-2.321 -1.509 6.308
-1.137 0.369 4.316
-4.249 1.373 9.031
```

Output
* ΔE_f: -784 meV per atom
* VASP energy: -9.201 eV/atom
* symmetry: Pmm2, No. 25

=====

[19]
Here is crystalline Pa4Os2Pt at its relaxed geometry from Alexandria. Energies are from PBE.

Geometry as POSCAR:
```
Pa4Os2Pt
1.0
-0.994 -2.868 2.521
6.434 -3.056 -0.939
-0.425 6.129 3.718
Pa Os Pt
4 2 1
Cartesian
0.363 1.365 4.783
4.653 -1.158 0.517
1.414 -1.308 2.156
3.601 1.515 3.143
3.961 -1.304 3.166
1.054 1.510 2.134
0.000 0.000 0.000
```

Output
* ΔE_f: -305 meV per atom
* VASP energy: -9.802 eV/atom
* symmetry: C2/m, No. 12

=====

[20]
Here is crystalline Pa2Os2Pt at its relaxed geometry from Alexandria. Energies are from PBE.

Geometry as POSCAR:
```
Pa2Os2Pt
1.0
-1.601 0.227 -3.707
-5.161 -1.646 -0.078
-2.940 4.503 -0.661
Pa Os Pt
2 2 1
Cartesian
-7.096 2.240 -3.417
-2.606 0.844 -1.029
-4.403 2.780 -2.340
-5.298 0.304 -2.106
0.000 0.000 0.000
```

Output
* ΔE_f: -417 meV per atom
* VASP energy: -9.916 eV/atom
* symmetry: Immm, No. 71